No. 1
## NaTiZn2 (PBE)

Data for an optimized crystal structure of NaTiZn2.

The structure in POSCAR format:
```
NaTiZn2
1.0
4.963 0.000 0.000
0.000 4.963 0.000
0.000 0.000 2.856
Na Ti Zn
1 1 2
Direct
0.000 0.000 0.000
0.500 0.500 0.000
0.000 0.500 0.500
0.500 0.000 0.500
```

## Properties
* SG: P4/mmm (123)
* mass density: 4.76 g cm⁻³
* E_form: 0.08 eV per atom
* size of the total moment: 0.83 Bohr magnetons per cell
* uncorrected energy: -2.857 eV/atom
* polymorph energy (0 for the lowest one): 0.30 eV per formula unit

***

No. 2
## HfCd2Ag (PBE)

Data for an optimized crystal structure of HfCd2Ag.

The structure in POSCAR format:
```
HfCd2Ag
1.0
2.990 0.000 0.000
0.000 22.220 0.000
0.000 0.000 5.039
Hf Cd Ag
4 8 4
Direct
0.000 0.027 0.250
0.000 0.973 0.750
0.500 0.473 0.750
0.500 0.527 0.250
0.000 0.162 0.250
0.000 0.404 0.250
0.000 0.596 0.750
0.000 0.838 0.750
0.500 0.096 0.750
0.500 0.338 0.750
0.500 0.662 0.250
0.500 0.904 0.250
0.000 0.224 0.750
0.000 0.776 0.250
0.500 0.276 0.250
0.500 0.724 0.750
```

## Properties
* SG: Cmcm (63)
* mass density: 10.14 g cm⁻³
* E_form: 0.12 eV per atom
* size of the total moment: 0.00 Bohr magnetons per cell
* uncorrected energy: -3.540 eV/atom
* polymorph energy (0 for the lowest one): 0.57 eV per formula unit

***

No. 3
## Pr2Ag2S3Cl2 (PBE)

Data for an optimized crystal structure of Pr2Ag2S3Cl2.

The structure in POSCAR format:
```
Pr2Ag2S3Cl2
1.0
-2.485 2.485 8.697
2.485 -2.485 8.697
2.485 2.485 -8.697
Pr Ag S Cl
2 2 3 2
Direct
0.174 0.174 0.000
0.826 0.826 0.000
0.000 0.500 0.500
0.500 0.000 0.500
0.000 0.000 0.000
0.250 0.750 0.500
0.750 0.250 0.500
0.396 0.396 0.000
0.604 0.604 0.000
```

## Properties
* SG: I4/mmm (139)
* ΔE_f (raw): -1.29 eV/atom
* mass density: 5.14 g cm⁻³
* size of the total moment: 0.00 Bohr magnetons per cell
* uncorrected energy: -4.771 eV/atom

***

No. 4
## Zr8Ti2Cd (PBE)

Data for an optimized crystal structure of Zr8Ti2Cd.

The structure in POSCAR format:
```
Zr8Ti2Cd
1.0
7.960 -2.988 0.000
7.960 2.988 0.000
-1.418 0.000 5.216
Zr Ti Cd
8 2 1
Direct
0.064 0.064 0.209
0.127 0.639 0.279
0.297 0.297 0.698
0.361 0.873 0.721
0.639 0.127 0.279
0.703 0.703 0.302
0.873 0.361 0.721
0.936 0.936 0.791
0.229 0.229 0.146
0.771 0.771 0.854
0.500 0.500 0.000
```

## Properties
* SG: C2/m (12)
* mass density: 6.28 g cm⁻³
* E_form: 0.12 eV per atom
* size of the total moment: 0.00 Bohr magnetons per cell
* uncorrected energy: -7.617 eV/atom

***

No. 5
## NpPaAs2 (PBE)

Data for an optimized crystal structure of NpPaAs2.

The structure in POSCAR format:
```
NpPaAs2
1.0
3.509 0.000 0.000
0.000 3.509 0.000
0.000 0.000 7.071
Np Pa As
1 1 2
Direct
0.000 0.000 0.000
0.000 0.000 0.500
0.500 0.500 0.253
0.500 0.500 0.747
```

## Properties
* SG: P4/mmm (123)
* mass density: 11.79 g cm⁻³
* E_form: -0.68 eV per atom
* size of the total moment: 5.14 Bohr magnetons per cell
* uncorrected energy: -8.618 eV/atom
* polymorph energy (0 for the lowest one): 0.79 eV per formula unit

***

No. 6
## CoIr3 (PBE)

Data for an optimized crystal structure of CoIr3.

The structure in POSCAR format:
```
CoIr3
1.0
5.366 0.000 0.000
0.000 7.573 0.000
0.000 0.000 2.707
Co Ir
2 6
Direct
0.000 0.000 0.000
0.500 0.500 0.000
0.000 0.500 0.000
0.250 0.250 0.500
0.250 0.750 0.500
0.500 0.000 0.000
0.750 0.250 0.500
0.750 0.750 0.500
```

## Properties
* SG: Cmmm (65)
* mass density: 19.19 g cm⁻³
* E_form: 0.04 eV per atom
* size of the total moment: 2.70 Bohr magnetons per cell
* uncorrected energy: -8.379 eV/atom

***

No. 7
## MnTe2I (PBE)

Data for an optimized crystal structure of MnTe2I.

The structure in POSCAR format:
```
MnTe2I
1.0
3.937 0.000 0.000
-1.969 3.410 0.000
0.000 0.000 25.795
Mn Te I
3 6 3
Direct
0.000 0.000 0.000
0.333 0.667 0.667
0.667 0.333 0.333
0.000 0.000 0.383
0.000 0.000 0.617
0.333 0.667 0.050
0.333 0.667 0.284
0.667 0.333 0.716
0.667 0.333 0.950
0.000 0.000 0.500
0.333 0.667 0.167
0.667 0.333 0.833
```

## Properties
* SG: R-3m (166)
* ΔE_f (raw): 0.08 eV/atom
* mass density: 6.29 g cm⁻³
* size of the total moment: 0.00 Bohr magnetons per cell
* uncorrected energy: -4.168 eV/atom
* polymorph energy (0 for the lowest one): 0.00 eV per formula unit